Computed, not measured: an optimized crystal structure of MnZn2Pt at the GGA-PBE level of DFT.

V: 14.61 Å³/atom
Size of the total moment: 3.661 μB/f.u.
Electronic total energy: -18.7 eV/cell

abc: 2.8419 3.6824 5.5828
angles: 90.00 90.00 90.00
Space group Pmm2 (No. 25)
Unique sites:
Mn: 0.0000 0.0000 0.0000 x1
Zn: 0.0000 0.0000 0.4975 x1
Zn: 0.5000 0.5000 0.7495 x1
Pt: 0.5000 0.5000 0.2466 x1

=====

Computed, not measured: an optimized crystal structure of TaH2Os at the GGA-PBE level of DFT.

V: 9.60 Å³/atom
Size of the total moment: 0.000 μB/f.u.
Electronic total energy: -117.6 eV/cell

abc: 4.2080 4.2080 8.6759
angles: 90.00 90.00 90.00
Space group I-42d (No. 122)
Unique sites:
Ta: 0.0000 0.0000 0.0000 x4
H: 0.2251 0.2500 0.6250 x8
Os: 0.0000 0.0000 0.5000 x4

=====

Computed, not measured: an optimized crystal structure of AlCu2Bi at the GGA-PBE level of DFT.

V: 19.84 Å³/atom
Size of the total moment: 0.000 μB/f.u.
Electronic total energy: -59.6 eV/cell

abc: 4.3280 4.3280 16.9480
angles: 90.00 90.00 90.00
Space group I-42d (No. 122)
Unique sites:
Al: 0.0000 0.0000 0.0000 x4
Cu: 0.1577 0.2500 0.1250 x8
Bi: 0.0000 0.0000 0.5000 x4

=====

Computed, not measured: an optimized crystal structure of NdErPt at the GGA-PBE level of DFT.

V: 26.86 Å³/atom
Size of the total moment: 0.000 μB/f.u.
Electronic total energy: -35.9 eV/cell

abc: 4.7472 4.7494 7.1641
angles: 92.58 92.76 90.13
Space group P-1 (No. 2)
Unique sites:
Nd: 0.2429 0.2434 0.3803 x2
Er: 0.2553 0.7455 0.0001 x2
Pt: 0.2205 0.2223 0.7758 x2

=====

Computed, not measured: an optimized crystal structure of Th2HgPd at the GGA-PBE level of DFT.

V: 26.46 Å³/atom
Size of the total moment: 0.000 μB/f.u.
Electronic total energy: -44.1 eV/cell

abc: 6.4207 4.4842 7.7167
angles: 90.00 107.65 90.00
Space group P2_1/m (No. 11)
Unique sites:
Th: 0.1925 0.2500 0.4094 x2
Th: 0.1922 0.2500 0.9357 x2
Hg: 0.3562 0.7500 0.7134 x2
Pd: 0.3432 0.7500 0.2119 x2

=====

Computed, not measured: an optimized crystal structure of Li3Ac4Ga5 at the GGA-PBE level of DFT.

V: 28.48 Å³/atom
Size of the total moment: 0.000 μB/f.u.
Electronic total energy: -82.1 eV/cell

abc: 15.3177 4.6549 10.8815
angles: 90.00 118.23 90.00
Space group C2/m (No. 12)
Unique sites:
Li: 0.0000 0.0000 0.0000 x2
Li: 0.1290 0.5000 0.8864 x4
Ac: 0.0388 0.0000 0.3331 x4
Ac: 0.2320 0.5000 0.2344 x4
Ga: 0.0000 0.5000 0.0000 x2
Ga: 0.0883 0.5000 0.6063 x4
Ga: 0.2174 0.5000 0.5225 x4

=====

Computed, not measured: an optimized crystal structure of Sr4ZnHg2 at the GGA-PBE level of DFT.

V: 35.86 Å³/atom
Size of the total moment: 0.000 μB/f.u.
Electronic total energy: -21.6 eV/cell

abc: 7.9325 7.9325 7.9786
angles: 90.00 90.00 90.00
Space group I4/mmm (No. 139)
Unique sites:
Sr: 0.2500 0.2500 0.2500 x8
Zn: 0.0000 0.0000 0.0000 x2
Hg: 0.0000 0.5000 0.0000 x4

=====

Computed, not measured: an optimized crystal structure of MnTc2Os at the GGA-PBE level of DFT.

V: 13.71 Å³/atom
Size of the total moment: 0.880 μB/f.u.
Electronic total energy: -40.8 eV/cell

abc: 2.6983 2.6983 7.5349
angles: 90.00 90.00 90.00
Space group P4mm (No. 99)
Unique sites:
Mn: 0.0000 0.0000 0.0000 x1
Tc: 0.0000 0.0000 0.4932 x1
Tc: 0.5000 0.5000 0.7645 x1
Os: 0.5000 0.5000 0.2344 x1

=====

Computed, not measured: an optimized crystal structure of LiMn2BeN at the GGA-PBE level of DFT.

Formation energy from raw total energies: 1.737 eV/atom
V: 12.67 Å³/atom
Size of the total moment: 6.680 μB/f.u.

abc: 4.1374 4.1374 3.7010
angles: 90.00 90.00 90.00
Space group P4/mmm (No. 123)
Unique sites:
Li: 0.0000 0.0000 0.0000 x1
Mn: 0.0000 0.5000 0.0000 x2
Be: 0.0000 0.0000 0.5000 x1
N: 0.5000 0.5000 0.5000 x1

=====

Computed, not measured: an optimized crystal structure of Sr2InCu at the GGA-PBE level of DFT.

V: 30.74 Å³/atom
Size of the total moment: 0.000 μB/f.u.
Electronic total energy: -20.3 eV/cell

abc: 4.7990 4.7990 10.6788
angles: 90.00 90.00 90.00
Space group I-4m2 (No. 119)
Unique sites:
Sr: 0.0000 0.0000 0.0000 x2
Sr: 0.0000 0.5000 0.2500 x2
In: 0.0000 0.0000 0.5000 x2
Cu: 0.0000 0.5000 0.7500 x2

=====

Computed, not measured: an optimized crystal structure of NaSm2Sn at the GGA-PBE level of DFT.

V: 28.82 Å³/atom
Size of the total moment: 0.000 μB/f.u.
Electronic total energy: -16.0 eV/cell

abc: 5.0748 5.0748 4.4766
angles: 90.00 90.00 90.00
Space group P4/mmm (No. 123)
Unique sites:
Na: 0.0000 0.0000 0.0000 x1
Sm: 0.0000 0.5000 0.5000 x2
Sn: 0.5000 0.5000 0.0000 x1

=====

Computed, not measured: an optimized crystal structure of PrPCl at the GGA-PBE level of DFT.

Formation energy from raw total energies: -1.561 eV/atom
V: 26.76 Å³/atom
Size of the total moment: 0.000 μB/f.u.

abc: 8.0059 5.0735 8.0171
angles: 90.00 99.58 90.00
Space group C2/m (No. 12)
Unique sites:
Pr: 0.2042 0.0000 0.2758 x4
P: 0.0767 0.5000 0.3967 x4
Cl: 0.1629 0.0000 0.8849 x4

=====

Computed, not measured: an optimized crystal structure of SrTlOs2 at the GGA-PBE level of DFT.

V: 23.77 Å³/atom
Size of the total moment: 0.000 μB/f.u.
Electronic total energy: -47.6 eV/cell

abc: 4.1665 5.3402 8.5476
angles: 90.00 90.00 90.00
Space group Imm2 (No. 44)
Unique sites:
Sr: 0.0000 0.0000 0.0000 x2
Tl: 0.0000 0.5000 0.7948 x2
Os: 0.0000 0.0000 0.5693 x2
Os: 0.0000 0.5000 0.2013 x2

=====

Computed, not measured: an optimized crystal structure of SrInAgHg at the GGA-PBE level of DFT.

V: 27.18 Å³/atom
Size of the total moment: 0.000 μB/f.u.
Electronic total energy: -17.7 eV/cell

abc: 8.6605 5.0365 5.7698
angles: 90.00 120.25 90.00
Space group Cm (No. 8)
Unique sites:
Sr: 0.0000 0.0000 0.0000 x2
In: 0.4702 0.0000 0.4105 x2
Ag: 0.2871 0.5000 0.3580 x2
Hg: 0.2275 0.0000 0.6817 x2

=====

Computed, not measured: an optimized crystal structure of Pm2Ag3Pt at the GGA-PBE level of DFT.

V: 23.37 Å³/atom
Size of the total moment: 0.000 μB/f.u.
Electronic total energy: -26.9 eV/cell

abc: 3.6221 4.7990 8.0664
angles: 90.00 90.00 90.00
Space group Pmm2 (No. 25)
Unique sites:
Pm: 0.0000 0.0000 0.0000 x1
Pm: 0.0000 0.5000 0.4424 x1
Ag: 0.5000 0.0000 0.6368 x1
Ag: 0.5000 0.5000 0.1279 x1
Ag: 0.5000 0.5000 0.7928 x1
Pt: 0.5000 0.0000 0.2970 x1

=====

Computed, not measured: an optimized crystal structure of PaCo2H6 at the GGA-PBE level of DFT.

V: 7.31 Å³/atom
Size of the total moment: 0.425 μB/f.u.
Electronic total energy: -46.4 eV/cell

abc: 4.3269 4.3269 4.0551
angles: 90.00 90.00 120.00
Space group P6/mmm (No. 191)
Unique sites:
Pa: 0.0000 0.0000 0.0000 x1
Co: 0.3333 0.6667 0.5000 x2
H: 0.0000 0.5000 0.2368 x6

=====

Computed, not measured: an optimized crystal structure of Tm5Al4Tl at the GGA-PBE level of DFT.

V: 23.26 Å³/atom
Size of the total moment: 0.000 μB/f.u.
Electronic total energy: -43.4 eV/cell

abc: 3.5622 3.5622 18.3308
angles: 90.00 90.00 90.00
Space group P4/mmm (No. 123)
Unique sites:
Tm: 0.0000 0.0000 0.0000 x1
Tm: 0.0000 0.0000 0.1917 x2
Tm: 0.0000 0.0000 0.3874 x2
Al: 0.5000 0.5000 0.0955 x2
Al: 0.5000 0.5000 0.2894 x2
Tl: 0.5000 0.5000 0.5000 x1

=====

Computed, not measured: an optimized crystal structure of Tl2H2F3 at the GGA-PBE level of DFT.

V: 17.43 Å³/atom
Size of the total moment: 0.000 μB/f.u.
Electronic total energy: -53.1 eV/cell

abc: 12.7805 5.4664 3.4947
angles: 90.00 92.28 90.00
Space group C2/m (No. 12)
Unique sites:
Tl: 0.1201 0.0000 0.2437 x4
H: 0.0887 0.5000 0.7085 x4
F: 0.0000 0.5000 0.5000 x2
F: 0.1580 0.5000 0.8698 x4

=====

Computed, not measured: an optimized crystal structure of CaTiTePd2 at the GGA-PBE level of DFT.

Formation energy from raw total energies: -0.313 eV/atom
V: 24.26 Å³/atom
Size of the total moment: 0.000 μB/f.u.

abc: 4.8190 4.8190 5.2230
angles: 90.00 90.00 90.00
Space group P4/mmm (No. 123)
Unique sites:
Ca: 0.0000 0.0000 0.0000 x1
Ti: 0.5000 0.5000 0.5000 x1
Te: 0.5000 0.5000 0.0000 x1
Pd: 0.0000 0.5000 0.5000 x2

=====

Computed, not measured: an optimized crystal structure of TbCe2P3Ir4 at the GGA-PBE level of DFT.

V: 18.28 Å³/atom
Size of the total moment: 0.011 μB/f.u.
Electronic total energy: -77.6 eV/cell

abc: 4.0041 4.0041 11.4022
angles: 90.00 90.00 90.00
Space group P-4m2 (No. 115)
Unique sites:
Tb: 0.0000 0.0000 0.0000 x1
Ce: 0.0000 0.5000 0.7282 x2
P: 0.0000 0.5000 0.3799 x2
P: 0.5000 0.5000 0.0000 x1
Ir: 0.0000 0.0000 0.5000 x1
Ir: 0.0000 0.5000 0.1776 x2
Ir: 0.5000 0.5000 0.5000 x1